Version 1
6
Lattice="2.9070 0.0000 0.0000 0.0000 2.9070 0.0000 0.0000 0.0000 12.1930" Properties=species:S:1:pos:R:3 comment="CuAu5 | Alexandria | PBE | relaxed" crystal_system=tetragonal vol_a3_per_atom=17.2 space_group="P4/mmm, No. 123" dos_at_fermi_per_ev_cell=2.716 pbc="T T T"
Cu 0.0000 0.0000 0.0000
Au 0.0000 0.0000 3.9521
Au 0.0000 0.0000 8.2409
Au 1.4535 1.4535 1.7830
Au 1.4535 1.4535 6.0965
Au 1.4535 1.4535 10.4100


Version 2
6
Lattice="0.0000 3.8575 3.8575 3.8575 0.0000 3.8575 3.8575 3.8575 0.0000" Properties=species:S:1:pos:R:3 comment="CuAu5 | Alexandria | PBE | relaxed" crystal_system=cubic vol_a3_per_atom=19.1 space_group="F-43m, No. 216" dos_at_fermi_per_ev_cell=1.614 pbc="T T T"
Cu 0.0000 0.0000 0.0000
Au 4.8226 2.8923 2.8923
Au 1.9287 1.9287 1.9287
Au 2.8923 4.8226 2.8923
Au 2.8923 2.8923 4.8226
Au 4.8226 4.8226 4.8226


Version 3
6
Lattice="5.4643 -1.4513 0.0000 5.4643 1.4513 0.0000 -2.0503 0.0000 6.5445" Properties=species:S:1:pos:R:3 comment="CuAu5 | Alexandria | PBE | relaxed" crystal_system=monoclinic vol_a3_per_atom=17.3 space_group="Cm, No. 8" dos_at_fermi_per_ev_cell=1.423 pbc="T T T"
Cu 0.0000 0.0000 0.0000
Au 3.1810 0.0000 0.5186
Au 2.2910 0.0000 4.4147
Au 5.1956 0.0000 5.0316
Au 6.6233 0.0000 2.0361
Au 9.6878 0.0000 2.7443


Version 4
6
Lattice="5.0052 0.0000 0.0000 -2.5026 4.3346 0.0000 0.0000 0.0000 4.7967" Properties=species:S:1:pos:R:3 comment="CuAu5 | Alexandria | PBE | relaxed" crystal_system=hexagonal vol_a3_per_atom=17.3 space_group="P-62m, No. 189" dos_at_fermi_per_ev_cell=2.124 pbc="T T T"
Cu 0.0000 0.0000 0.0000
Au -1.6848 2.9182 2.3983
Au 0.8177 1.4164 2.3983
Au 0.0000 2.8897 0.0000
Au 2.5026 1.4449 0.0000
Au 3.3697 0.0000 2.3983


Most stable = version 1


Version 1
16
Lattice="2.4475 -6.8360 0.0000 2.4475 6.8360 0.0000 -0.8255 0.0000 7.0258" Properties=species:S:1:pos:R:3 comment="Cu5Au3 | Alexandria | PBE | relaxed" crystal_system=monoclinic vol_a3_per_atom=14.7 space_group="Cm, No. 8" dos_at_fermi_per_ev_cell=4.532 pbc="T T T"
Cu 0.0000 0.0000 0.0000
Cu 0.3116 1.2745 2.1477
Cu 1.4325 2.0349 0.0253
Cu 0.3116 -1.2745 2.1477
Cu 2.2972 4.0409 4.2228
Cu 2.0266 1.3523 3.9700
Cu 1.4325 -2.0349 0.0253
Cu 1.6644 0.0000 6.0268
Cu 2.0266 -1.3523 3.9700
Cu 2.2972 -4.0409 4.2228
Au -0.4758 0.0000 4.3860
Au 3.0811 2.7943 1.9855
Au 2.6619 0.0000 1.6444
Au 3.0597 2.3322 6.1812
Au 3.0811 -2.7943 1.9855
Au 3.0597 -2.3322 6.1812


Version 2
8
Lattice="3.8042 -3.9182 0.0000 3.8042 3.9182 0.0000 0.0000 0.0000 3.8641" Properties=species:S:1:pos:R:3 comment="Cu5Au3 | Alexandria | PBE | relaxed" crystal_system=orthorhombic vol_a3_per_atom=14.4 space_group="Cmmm, No. 65" dos_at_fermi_per_ev_cell=2.229 pbc="T T T"
Cu 0.0000 0.0000 0.0000
Cu 1.9021 1.9591 0.0000
Cu 1.9042 0.0000 1.9321
Cu 1.9021 -1.9591 0.0000
Cu 5.7043 0.0000 1.9321
Au 3.8042 2.0772 1.9321
Au 3.8042 0.0000 0.0000
Au 3.8042 -2.0772 1.9321


Version 3
16
Lattice="7.6706 0.0000 0.0000 -3.8353 6.6429 0.0000 0.0000 0.0000 4.7448" Properties=species:S:1:pos:R:3 comment="Cu5Au3 | Alexandria | PBE | relaxed" crystal_system=hexagonal vol_a3_per_atom=15.1 space_group="P6_3/mcm, No. 193" dos_at_fermi_per_ev_cell=4.567 pbc="T T T"
Cu -0.7730 1.3390 1.1862
Cu -3.0622 5.3040 3.5586
Cu 1.5461 0.0000 1.1862
Cu 0.7730 1.3390 3.5586
Cu 0.0000 4.4286 0.0000
Cu 0.0000 4.4286 2.3724
Cu 3.8353 2.2143 0.0000
Cu 3.8353 2.2143 2.3724
Cu 6.1245 0.0000 3.5586
Cu 3.0622 5.3040 1.1862
Au -1.5059 2.6083 3.5586
Au -2.3294 4.0346 1.1862
Au 3.0118 0.0000 3.5586
Au 1.5059 2.6083 1.1862
Au 4.6588 0.0000 1.1862
Au 2.3294 4.0346 3.5586


Most stable = version 2